[1]
Below is Mn2MoH after structural relaxation, with properties calculated at the PBE level.

abc: 5.5947 5.5947 5.5947
angles: 40.31 40.31 40.31
Closest atoms and distances in Å follow each position.
Element x y z (fractional)
Mn  0.1065  0.1065  0.1065  1 H 1.64
Mn  0.8935  0.8935  0.8935  1 H 1.64
Mo  0.5000  0.5000  0.5000  6 Mn 2.41
H  0.0000  0.0000  0.0000  2 Mn 1.64

Output
For the theoretical density, the calculation gives 5.20 g cm⁻³. As for the polymorph energy (0 for the lowest one): 701.6 meV/atom. As for the space-group type: No. 166. As for the electronic total energy: -7.12 eV per atom. As for the total magnetization: 3.34 μB/f.u.


[2]
Below is Cs2Na3ReO6 after structural relaxation, with properties calculated at the PBE level.

abc: 7.1753 7.1753 5.7251
angles: 100.30 100.30 125.91
Closest atoms and distances in Å follow each position.
Element x y z (fractional)
Cs  0.1761  0.8239  0.0000  6 O 2.92-3.11
Cs  0.8239  0.1761  0.0000  6 O 2.92-3.11
Na  0.0000  0.0000  0.5000  4 O 2.45
Na  0.3878  0.6122  0.5000  4 O 2.28-2.30
Na  0.6122  0.3878  0.5000  4 O 2.28-2.30
Re  0.5000  0.5000  0.0000  6 O 1.92-1.93
O  0.2125  0.4240  0.7721  1 Re 1.93
O  0.3070  0.3070  0.1800  1 Re 1.92
O  0.4240  0.2125  0.7721  1 Re 1.93
O  0.5760  0.7875  0.2279  1 Re 1.93
O  0.6930  0.6930  0.8200  1 Re 1.92
O  0.7875  0.5760  0.2279  1 Re 1.93

Output
For the theoretical density, the calculation gives 4.67 g cm⁻³. As for the space-group type: No. 12. As for the electronic total energy: -5.58 eV per atom. The value obtained for the uncorrected formation energy is -1.590 eV per atom. As for the total magnetization: 0.10 μB/f.u.


[3]
Below is Pr2DyTl2Ag2 after structural relaxation, with properties calculated at the PBE level.

abc: 9.6854 9.6854 9.6854
angles: 29.39 29.39 29.39
Closest atoms and distances in Å follow each position.
Element x y z (fractional)
Pr  0.1243  0.1243  0.1243  3 Tl 3.22, 3 Ag 3.43, 1 Dy 3.45
Pr  0.8757  0.8757  0.8757  3 Tl 3.22, 3 Ag 3.43, 1 Dy 3.45
Dy  0.0000  0.0000  0.0000  6 Ag 3.22, 6 Tl 3.43, 2 Pr 3.45
Tl  0.2639  0.2639  0.2639  3 Ag 2.87
Tl  0.7361  0.7361  0.7361  3 Ag 2.87
Ag  0.3882  0.3882  0.3882  3 Tl 2.87
Ag  0.6118  0.6118  0.6118  3 Tl 2.87

Output
For the theoretical density, the calculation gives 9.16 g cm⁻³. As for the space-group type: No. 166. As for the electronic total energy: -3.71 eV per atom. As for the total magnetization: 0.00 μB/f.u. The calculation puts the formation energy at -1.358 eV per formula unit.